This record from Alexandria via LeMat-Bulk describes a relaxed structure of In2CuRuPt. The functional is PBE.

abc: 5.083 5.083 5.078
angles: 90.00 90.00 90.00
Positions (direct):
In  0.000  0.500  0.000
In  0.500  0.000  0.000
Cu  0.000  0.000  0.500
Ru  0.500  0.500  0.500
Pt  0.500  0.500  0.000

The uncorrected energy is -20.4 eV/cell.